[1]
Material: InIrPt
Method: DFT, PBE
State: optimized geometry

Values from the calculation:
Excess energy over the best structure of this formula in the dataset (kJ/mol of atoms): 16.18
Space-group type: F-43m (216)
M_tot (μB per atom): 0.001
ΔE_f (meV/atom): 148
Energy (eV per atom): -5.732

Cell lengths 4.3920, 4.3920, 4.3920 Å; angles 60.00, 60.00, 60.00 degrees
Last column: nearest neighbours and their distance in Å.
Sites, in units of the cell vectors:
In 0.5000 0.5000 0.5000  4 Ir 2.69
Ir 0.7500 0.7500 0.7500  4 In 2.69, 4 Pt 2.69
Pt 0.0000 0.0000 0.0000  4 Ir 2.69



[2]
Material: InIrPt2
Method: DFT, PBE
State: optimized geometry

Values from the calculation:
Space-group type: R3m (160)
M_tot (μB per atom): 0.000
ΔE_f (meV/atom): 55
Energy (eV per atom): -5.865

Cell lengths 9.0535, 9.0535, 9.0535 Å; angles 18.63, 18.63, 18.63 degrees
Last column: nearest neighbours and their distance in Å.
Sites, in units of the cell vectors:
In 0.4991 0.4991 0.4991  3 Ir 2.79, 3 Pt 2.81, 6 In 2.93
Ir 0.7495 0.7495 0.7495  3 Pt 2.75, 3 In 2.79, 6 Ir 2.93
Pt 0.0015 0.0015 0.0015  3 Ir 2.75, 9 Pt 2.83-2.93
Pt 0.2498 0.2498 0.2498  3 In 2.81, 9 Pt 2.83-2.93



[3]
Material: InIrPt2
Method: DFT, PBE
State: optimized geometry

Values from the calculation:
Space-group type: I-42d (122)
M_tot (μB per atom): 0.000
ΔE_f (meV/atom): 166
Energy (eV per atom): -5.754

Cell lengths 3.9072, 3.9072, 9.8050 Å; angles 78.51, 78.51, 90.00 degrees
Last column: nearest neighbours and their distance in Å.
Sites, in units of the cell vectors:
Ir 0.0000 0.0000 0.0000  4 Pt 2.71, 4 In 2.76
Ir 0.7500 0.2500 0.5000  4 Pt 2.71, 4 In 2.76
Pt 0.6410 0.1250 0.2500  4 Pt 2.68-2.85, 2 Ir 2.71, 2 In 2.75
Pt 0.1090 0.6250 0.2500  4 Pt 2.68-2.85, 2 Ir 2.71, 2 In 2.75
Pt 0.3750 0.3590 0.7500  4 Pt 2.68-2.85, 2 Ir 2.71, 2 In 2.75
Pt 0.8750 0.8910 0.7500  4 Pt 2.68-2.85, 2 Ir 2.71, 2 In 2.75
In 0.5000 0.5000 0.0000  4 Pt 2.75, 4 Ir 2.76
In 0.2500 0.7500 0.5000  4 Pt 2.75, 4 Ir 2.76



[4]
Material: InIrPt2
Method: DFT, PBE
State: optimized geometry

Values from the calculation:
Space-group type: R-3m (166)
M_tot (μB per atom): 0.312
ΔE_f (meV/atom): 71
Energy (eV per atom): -5.850

Cell lengths 9.1327, 9.1327, 9.1327 Å; angles 18.41, 18.41, 18.41 degrees
Last column: nearest neighbours and their distance in Å.
Sites, in units of the cell vectors:
In 0.2500 0.2500 0.2500  6 Pt 2.83, 6 In 2.92
Ir 0.7500 0.7500 0.7500  6 Pt 2.78, 6 Ir 2.92
Pt 0.0011 0.0011 0.0011  3 Ir 2.78, 3 In 2.83, 6 Pt 2.92
Pt 0.4989 0.4989 0.4989  3 Ir 2.78, 3 In 2.83, 6 Pt 2.92



[5]
Material: In4IrPt
Method: DFT, PBE
State: optimized geometry

Values from the calculation:
Excess energy over the best structure of this formula in the dataset (kJ/mol of atoms): 84.32
Space-group type: F-43m (216)
M_tot (μB per atom): 0.000
ΔE_f (meV/atom): 717
Energy (eV per atom): -3.592

Cell lengths 5.6353, 5.6353, 5.6353 Å; angles 60.00, 60.00, 60.00 degrees
Last column: nearest neighbours and their distance in Å.
Sites, in units of the cell vectors:
In 0.8746 0.3751 0.3751  6 In 2.81-2.82
In 0.3751 0.3751 0.8746  6 In 2.81-2.82
In 0.3751 0.8746 0.3751  6 In 2.81-2.82
In 0.3751 0.3751 0.3751  6 In 2.81-2.82
Ir 0.7500 0.7500 0.7500  12 In 3.30, 4 Pt 3.45
Pt 0.0000 0.0000 0.0000  12 In 3.30, 4 Ir 3.45



[6]
Material: InIrPt2
Method: DFT, PBE
State: optimized geometry

Values from the calculation:
Space-group type: F-43m (216)
M_tot (μB per atom): 0.000
ΔE_f (meV/atom): 7
Energy (eV per atom): -5.913

Cell lengths 4.5450, 4.5450, 4.5450 Å; angles 60.00, 60.00, 60.00 degrees
Last column: nearest neighbours and their distance in Å.
Sites, in units of the cell vectors:
In 0.5000 0.5000 0.5000  4 Ir 2.78, 4 Pt 2.78
Ir 0.7500 0.7500 0.7500  4 In 2.78, 4 Pt 2.78
Pt 0.0000 0.0000 0.0000  4 Ir 2.78, 4 Pt 2.78
Pt 0.2500 0.2500 0.2500  4 In 2.78, 4 Pt 2.78